Version 1
Compound: Sr2AlH
Source: Alexandria via LeMat-Bulk
Functional: PBE-GGA
Structure: optimized geometry

Properties
The value obtained for the total magnetization is 0.00 μB per cell.

Unit cell a=4.0771 b=4.0771 c=23.5535 alpha=90.00 beta=90.00 gamma=120.00
Space group R-3m (No. 166, hexagonal axes)
Unique sites:
Sr (0.0000, 0.0000, 0.2356) [6 per cell]
Al (0.0000, 0.0000, 0.0000) [3 per cell]
H (0.0000, 0.0000, 0.5000) [3 per cell]



Version 2
Compound: Sr2AlH
Source: Alexandria via LeMat-Bulk
Functional: PBE-GGA
Structure: optimized geometry

Properties
The value obtained for the total magnetization is 0.00 μB per cell.

Unit cell a=3.5714 b=3.5714 c=8.1257 alpha=90.00 beta=90.00 gamma=90.00
Space group P4/mmm (No. 123)
Unique sites:
Sr (0.0000, 0.0000, 0.2301) [2 per cell]
Al (0.5000, 0.5000, 0.5000) [1 per cell]
H (0.5000, 0.5000, 0.0000) [1 per cell]



Stability order, top to bottom: version 1, version 2



Version 1
Compound: SrAlH2
Source: Alexandria via LeMat-Bulk
Functional: PBE-GGA
Structure: optimized geometry

Properties
The value obtained for the total magnetization is 0.00 μB per cell.

Unit cell a=4.7578 b=4.7578 c=11.3811 alpha=90.00 beta=90.00 gamma=90.00
Space group I-42d (No. 122)
Unique sites:
Sr (0.0000, 0.0000, 0.0000) [4 per cell]
Al (0.0000, 0.0000, 0.5000) [4 per cell]
H (0.1547, 0.2500, 0.6250) [8 per cell]



Version 2
Compound: SrAlH2
Source: Alexandria via LeMat-Bulk
Functional: PBE-GGA
Structure: optimized geometry

Properties
The value obtained for the total magnetization is 0.00 μB per cell.

Unit cell a=6.2509 b=6.2509 c=6.2509 alpha=90.00 beta=90.00 gamma=90.00
Space group Fm-3m (No. 225)
Unique sites:
Sr (0.0000, 0.0000, 0.0000) [4 per cell]
Al (0.0000, 0.0000, 0.5000) [4 per cell]
H (0.2500, 0.2500, 0.2500) [8 per cell]



Stability order, top to bottom: version 1, version 2



Version 1
Compound: Sr3AlH
Source: Alexandria via LeMat-Bulk
Functional: PBE-GGA
Structure: optimized geometry

Properties
The value obtained for the total magnetization is 0.00 μB per cell.

Unit cell a=8.3502 b=3.9655 c=10.0585 alpha=90.00 beta=91.16 gamma=90.00
Space group P2_1/m (No. 11)
Unique sites:
Sr (0.0832, 0.2500, 0.3281) [2 per cell]
Sr (0.2801, 0.2500, 0.9769) [2 per cell]
Sr (0.3492, 0.7500, 0.6086) [2 per cell]
Al (0.3854, 0.7500, 0.2424) [2 per cell]
H (0.1132, 0.2500, 0.5805) [2 per cell]



Version 2
Compound: Sr3AlH
Source: Alexandria via LeMat-Bulk
Functional: PBE-GGA
Structure: optimized geometry

Properties
The value obtained for the total magnetization is 0.00 μB per cell.

Unit cell a=5.2866 b=5.2866 c=5.2866 alpha=90.00 beta=90.00 gamma=90.00
Space group Pm-3m (No. 221)
Unique sites:
Sr (0.0000, 0.0000, 0.5000) [3 per cell]
Al (0.5000, 0.5000, 0.5000) [1 per cell]
H (0.0000, 0.0000, 0.0000) [1 per cell]



Stability order, top to bottom: version 2, version 1



Version 1
Compound: SrAlH3
Source: Alexandria via LeMat-Bulk
Functional: PBE-GGA
Structure: optimized geometry

Properties
The value obtained for the total magnetization is 0.00 μB per cell.

Unit cell a=3.9683 b=3.9683 c=3.9683 alpha=90.00 beta=90.00 gamma=90.00
Space group Pm-3m (No. 221)
Unique sites:
Sr (0.0000, 0.0000, 0.0000) [1 per cell]
Al (0.5000, 0.5000, 0.5000) [1 per cell]
H (0.0000, 0.5000, 0.5000) [3 per cell]



Version 2
Compound: SrAlH3
Source: Alexandria via LeMat-Bulk
Functional: PBE-GGA
Structure: optimized geometry

Properties
The value obtained for the total magnetization is 0.00 μB per cell.

Unit cell a=4.5505 b=4.5505 c=4.5505 alpha=90.00 beta=90.00 gamma=90.00
Space group Pm-3m (No. 221)
Unique sites:
Sr (0.0000, 0.0000, 0.0000) [1 per cell]
Al (0.5000, 0.5000, 0.5000) [1 per cell]
H (0.0000, 0.0000, 0.5000) [3 per cell]



Version 3
Compound: SrAlH3
Source: Alexandria via LeMat-Bulk
Functional: PBE-GGA
Structure: optimized geometry

Properties
The value obtained for the total magnetization is 0.00 μB per cell.

Unit cell a=3.8855 b=6.4430 c=10.7841 alpha=90.00 beta=90.00 gamma=90.00
Space group Immm (No. 71)
Unique sites:
Sr (0.0000, 0.0000, 0.1780) [4 per cell]
Al (0.0000, 0.2060, 0.5000) [4 per cell]
H (0.0000, 0.2444, 0.0000) [4 per cell]
H (0.0000, 0.2729, 0.3376) [8 per cell]



Stability order, top to bottom: version 3, version 1, version 2



Version 1
Compound: Ta2AlH
Source: Alexandria via LeMat-Bulk
Functional: PBE-GGA
Structure: optimized geometry

Properties
The value obtained for the total magnetization is 0.00 μB per cell.

Unit cell a=2.8513 b=4.7795 c=4.7963 alpha=113.13 beta=101.51 gamma=101.22
Space group P1 (No. 1)
Unique sites:
Ta (0.0000, 0.0000, 0.0000) [1 per cell]
Ta (0.0005, 0.3622, 0.6362) [1 per cell]
Al (0.5020, 0.6805, 0.3175) [1 per cell]
H (0.4992, 0.1787, 0.8157) [1 per cell]



Version 2
Compound: Ta2AlH
Source: Alexandria via LeMat-Bulk
Functional: PBE-GGA
Structure: optimized geometry

Properties
The value obtained for the total magnetization is 0.00 μB per cell.

Unit cell a=6.1845 b=6.1845 c=6.1845 alpha=90.00 beta=90.00 gamma=90.00
Space group Fm-3m (No. 225)
Unique sites:
Ta (0.2500, 0.2500, 0.2500) [8 per cell]
Al (0.0000, 0.0000, 0.0000) [4 per cell]
H (0.0000, 0.0000, 0.5000) [4 per cell]



Stability order, top to bottom: version 1, version 2



Version 1
Compound: Ta2AlH
Source: Alexandria via LeMat-Bulk
Functional: PBE-GGA
Structure: optimized geometry

Properties
The value obtained for the total magnetization is 0.00 μB per cell.

Unit cell a=5.1062 b=2.9498 c=7.4462 alpha=90.00 beta=103.09 gamma=90.00
Space group Cm (No. 8)
Unique sites:
Ta (0.0000, 0.0000, 0.0000) [2 per cell]
Ta (0.2101, 0.0000, 0.6320) [2 per cell]
Al (0.4389, 0.0000, 0.3172) [2 per cell]
H (0.1067, 0.5000, 0.8210) [2 per cell]



Version 2
Compound: Ta2AlH
Source: Alexandria via LeMat-Bulk
Functional: PBE-GGA
Structure: optimized geometry

Properties
The value obtained for the total magnetization is 0.00 μB per cell.

Unit cell a=2.9166 b=2.9166 c=24.2005 alpha=90.00 beta=90.00 gamma=120.00
Space group R-3m (No. 166, hexagonal axes)
Unique sites:
Ta (0.0000, 0.0000, 0.1114) [6 per cell]
Al (0.0000, 0.0000, 0.0000) [3 per cell]
H (0.0000, 0.0000, 0.5000) [3 per cell]



Version 3
Compound: Ta2AlH
Source: Alexandria via LeMat-Bulk
Functional: PBE-GGA
Structure: optimized geometry

Properties
The value obtained for the total magnetization is 0.00 μB per cell.

Unit cell a=5.4034 b=5.4034 c=8.9790 alpha=90.00 beta=90.00 gamma=90.00
Space group I4_1/amd (No. 141, origin choice 2)
Unique sites:
Ta (0.0000, 0.0000, 0.0000) [8 per cell]
Al (0.0000, 0.2500, 0.3750) [4 per cell]
H (0.0000, 0.2500, 0.8750) [4 per cell]



Stability order, top to bottom: version 1, version 2, version 3